No. 1
A plane-wave DFT calculation with GGA-PBE was carried out for an optimized crystal structure of PuV2Tc.

Cell: 3.0177 3.0177 7.1114 Å, 90.00 90.00 90.00°
Closest atoms and distances in Å follow each position.
Positions (direct):
1 Pu 0.0000 0.0000 0.0000  8 V 2.97, 4 Pu 3.02
2 V 0.5000 0.5000 0.2902  4 Tc 2.60
3 V 0.5000 0.5000 0.7098  4 Tc 2.60
4 Tc 0.0000 0.0000 0.5000  8 V 2.60

Calculated values
Excess energy over the best structure of this formula in the dataset in eV/atom: 0.0000
Calculated volume in Å³/cell: 65
DOS at the Fermi energy in states/eV per cell: 5.96
Energy of formation from the pure elements in eV/f.u.: 0.16
DFT total energy in eV for the cell shown: -42.78
Crystal system: tetragonal
Symmetry: No. 123

No. 2
A plane-wave DFT calculation with GGA-PBE was carried out for an optimized crystal structure of HgSeF4.

Cell: 6.8929 6.8929 6.4966 Å, 107.65 107.65 112.46°
Closest atoms and distances in Å follow each position.
Positions (direct):
1 Hg 0.1880 0.8120 0.7500  2 F 2.12
2 Hg 0.8120 0.1880 0.2500  2 F 2.12
3 Se 0.2993 0.7007 0.2500  2 F 1.82
4 Se 0.7007 0.2993 0.7500  2 F 1.82
5 F 0.0182 0.3673 0.6382  1 Hg 2.12
6 F 0.2556 0.4339 0.2759  1 Se 1.82
7 F 0.3673 0.0182 0.1382  1 Hg 2.12
8 F 0.4339 0.2556 0.7759  1 Se 1.82
9 F 0.5661 0.7444 0.2241  1 Se 1.82
10 F 0.6327 0.9818 0.8618  1 Hg 2.12
11 F 0.7444 0.5661 0.7241  1 Se 1.82
12 F 0.9818 0.6327 0.3618  1 Hg 2.12

Calculated values
Formation energy (no corrections) in eV per atom: -1.251
Excess energy over the best structure of this formula in the dataset in eV/atom: 0.1239
Calculated volume in Å³/cell: 239
DFT total energy in eV for the cell shown: -37.56
Crystal system: monoclinic
Symmetry: No. 15

No. 3
A plane-wave DFT calculation with GGA-PBE was carried out for an optimized crystal structure of MgReBr2.

Cell: 3.3010 3.3010 9.8434 Å, 90.00 90.00 119.82°
Closest atoms and distances in Å follow each position.
Positions (direct):
1 Mg 0.0000 0.0000 0.0000  2 Br 2.52
2 Re 0.5000 0.5000 0.7638  2 Br 2.53
3 Br 0.0000 0.0000 0.5699  2 Re 2.53
4 Br 0.5000 0.5000 0.1928  2 Mg 2.52

Calculated values
Formation energy (no corrections) in eV per atom: 0.291
Excess energy over the best structure of this formula in the dataset in eV/atom: 0.2441
Calculated volume in Å³/cell: 93
DOS at the Fermi energy in states/eV per cell: 2.62
DFT total energy in eV for the cell shown: -16.23
Crystal system: orthorhombic
Symmetry: No. 35

No. 4
A plane-wave DFT calculation with GGA-PBE was carried out for an optimized crystal structure of PmNdEr2Bi4.

Cell: 7.8228 4.5266 7.8351 Å, 90.00 109.50 90.00°
Closest atoms and distances in Å follow each position.
Positions (direct):
1 Pm 0.0000 0.0000 0.0000  6 Bi 3.24
2 Nd 0.0000 0.5000 0.5000  6 Bi 3.24-3.25
3 Er 0.5000 0.0000 0.5000  6 Bi 3.16
4 Er 0.5000 0.5000 0.0000  6 Bi 3.15
5 Bi 0.2603 0.0000 0.7543  3 Er 3.15-3.16, 1 Pm 3.24, 2 Nd 3.25
6 Bi 0.2598 0.5000 0.2524  3 Er 3.15-3.16, 2 Pm 3.24, 1 Nd 3.24
7 Bi 0.7397 0.0000 0.2457  3 Er 3.15-3.16, 1 Pm 3.24, 2 Nd 3.25
8 Bi 0.7402 0.5000 0.7476  3 Er 3.15-3.16, 2 Pm 3.24, 1 Nd 3.24

Calculated values
Calculated volume in Å³/cell: 262
DOS at the Fermi energy in states/eV per cell: 1.24
Energy of formation from the pure elements in eV/f.u.: -7.01
DFT total energy in eV for the cell shown: -41.17
Crystal system: monoclinic
Symmetry: No. 10

No. 5
A plane-wave DFT calculation with GGA-PBE was carried out for an optimized crystal structure of Tc2I2F.

Cell: 5.2487 5.2487 5.2487 Å, 117.04 117.04 95.21°
Closest atoms and distances in Å follow each position.
Positions (direct):
1 Tc 0.1516 0.1516 0.0000  1 Tc 2.15
2 Tc 0.8484 0.8484 0.0000  1 Tc 2.15
3 I 0.2500 0.7500 0.5000  4 Tc 2.83
4 I 0.7500 0.2500 0.5000  4 Tc 2.83
5 F 0.5000 0.5000 0.0000  2 Tc 2.47

Calculated values
Formation energy (no corrections) in eV per atom: 0.009
Excess energy over the best structure of this formula in the dataset in eV/atom: 0.0000
Calculated volume in Å³/cell: 106
DOS at the Fermi energy in states/eV per cell: 2.45
DFT total energy in eV for the cell shown: -25.66
Crystal system: tetragonal
Symmetry: No. 139

No. 6
A plane-wave DFT calculation with GGA-PBE was carried out for an optimized crystal structure of KBe2Hg2.

Cell: 5.7235 5.7235 5.7235 Å, 130.71 130.71 72.28°
Closest atoms and distances in Å follow each position.
Positions (direct):
1 K 0.0000 0.0000 0.0000  8 Hg 3.32, 10 Be 3.46-3.57
2 Be 0.3748 0.3748 0.0000  1 Be 2.31
3 Be 0.6252 0.6252 0.0000  1 Be 2.31
4 Hg 0.2500 0.7500 0.5000  4 Be 2.65
5 Hg 0.7500 0.2500 0.5000  4 Be 2.65

Calculated values
Excess energy over the best structure of this formula in the dataset in eV/atom: 0.0000
Calculated volume in Å³/cell: 105
DOS at the Fermi energy in states/eV per cell: 2.11
Energy of formation from the pure elements in eV/f.u.: 1.81
DFT total energy in eV for the cell shown: -7.35
Crystal system: tetragonal
Symmetry: No. 139

No. 7
A plane-wave DFT calculation with GGA-PBE was carried out for an optimized crystal structure of KTlRu.

Cell: 4.8342 4.8342 4.8342 Å, 60.00 60.00 60.00°
Closest atoms and distances in Å follow each position.
Positions (direct):
1 K 0.0000 0.0000 0.0000  4 Ru 2.96
2 Tl 0.5000 0.5000 0.5000  4 Ru 2.96
3 Ru 0.2500 0.2500 0.2500  4 Tl 2.96, 4 K 2.96

Calculated values
Excess energy over the best structure of this formula in the dataset in eV/atom: 0.4377
Calculated volume in Å³/cell: 80
DOS at the Fermi energy in states/eV per cell: 8.06
Energy of formation from the pure elements in eV/f.u.: 3.10
DFT total energy in eV for the cell shown: -9.64
Crystal system: cubic
Symmetry: No. 216

No. 8
A plane-wave DFT calculation with GGA-PBE was carried out for an optimized crystal structure of BaPrMgHg.

Cell: 5.7480 5.7480 5.7480 Å, 60.00 60.00 60.00°
Closest atoms and distances in Å follow each position.
Positions (direct):
1 Ba 0.0000 0.0000 0.0000  4 Hg 3.52, 4 Mg 3.52
2 Pr 0.5000 0.5000 0.5000  4 Hg 3.52, 4 Mg 3.52
3 Mg 0.7500 0.7500 0.7500  4 Ba 3.52, 4 Pr 3.52
4 Hg 0.2500 0.2500 0.2500  4 Ba 3.52, 4 Pr 3.52

Calculated values
Calculated volume in Å³/cell: 134
DOS at the Fermi energy in states/eV per cell: 2.34
Energy of formation from the pure elements in eV/f.u.: -0.75
DFT total energy in eV for the cell shown: -9.35
Crystal system: cubic
Symmetry: No. 216